A relaxed CoTeO2 crystal. Source: Alexandria, functional PBE with a Hubbard U.

Cell and atoms, written as POSCAR:
```
CoTeO2
1.0
1.808 0.000 6.300
-0.904 1.566 6.300
-0.904 -1.566 6.300
O Te Co
2 1 1
Direct
0.110 0.110 0.110
0.890 0.890 0.890
0.000 0.000 0.000
0.500 0.500 0.500
```

Results
**Crystal system**: trigonal
**Density**: 6.78 g/cm³
**Calculated total energy**: -5.09 eV/atom
**D(E_F)**: 3.1 states/eV/cell